(1)
{
  "formula": "Li3Al2O4",
  "functional": "PBE-GGA",
  "state": "optimized geometry",
  "lattice": [[3.024, 0.000, 0.000], [-1.512, 4.634, -1.386], [0.000, -3.711, 7.580]],
  "species": ["Li", "Li", "Li", "Al", "Al", "O", "O", "O", "O"],
  "fractional_positions": [[0.640, 0.280, 0.845], [0.000, 0.000, 0.000], [0.360, 0.720, 0.155], [0.765, 0.530, 0.371], [0.235, 0.470, 0.629], [0.712, 0.424, 0.127], [0.288, 0.576, 0.873], [0.867, 0.734, 0.661], [0.133, 0.266, 0.339]],
  "volume_a3_per_atom": 10.1,
  "energy_ha_per_atom": -0.216,
  "spacegroup": "C2/m",
  "n_ef_per_ev_atom": 0.15,
  "e_form_raw_ev_per_fu": -19.826
}


(2)
{
  "formula": "Ac2GaAuO6",
  "functional": "PBE-GGA",
  "state": "optimized geometry",
  "lattice": [[-0.200, -3.612, 3.031], [3.551, -2.908, -3.231], [4.340, 2.144, 2.841]],
  "species": ["Ac", "Ac", "Ga", "Au", "O", "O", "O", "O", "O", "O"],
  "fractional_positions": [[0.049, 0.500, 0.000], [0.049, 0.000, 0.500], [0.577, 0.000, 0.000], [0.631, 0.500, 0.500], [0.703, 0.236, 0.236], [0.703, 0.236, 0.764], [0.142, 0.500, 0.500], [0.185, 0.000, 0.000], [0.703, 0.764, 0.764], [0.703, 0.764, 0.236]],
  "volume_a3_per_atom": 14.9,
  "energy_ha_per_atom": -0.237,
  "spacegroup": "P4mm",
  "n_ef_per_ev_atom": 0.15,
  "e_form_raw_ev_per_fu": -20.321
}


(3)
{
  "formula": "Sr2ScIr",
  "functional": "PBE-GGA",
  "state": "optimized geometry",
  "lattice": [[-2.320, 3.366, -2.129], [-0.383, -2.643, -3.762], [-4.286, -1.855, 1.740]],
  "species": ["Ir", "Sc", "Sr", "Sr"],
  "fractional_positions": [[0.500, 0.000, 0.500], [0.000, 0.500, 0.500], [0.000, 0.000, 0.000], [0.500, 0.500, 0.000]],
  "volume_a3_per_atom": 26.5,
  "ef_ev_per_atom": 0.2674,
  "energy_ha_per_atom": -0.161,
  "spacegroup": "P4/mmm",
  "n_ef_per_ev_atom": 1.35
}


(4)
{
  "formula": "LiNb2CdS",
  "functional": "PBE-GGA",
  "state": "optimized geometry",
  "lattice": [[4.587, 0.000, 0.000], [0.000, 5.092, 0.000], [0.000, 0.000, 4.587]],
  "species": ["Nb", "Nb", "Li", "S", "Cd"],
  "fractional_positions": [[0.000, 0.000, 0.500], [0.500, 0.000, 0.000], [0.500, 0.500, 0.500], [0.000, 0.000, 0.000], [0.000, 0.500, 0.000]],
  "volume_a3_per_atom": 21.4,
  "energy_ha_per_atom": -0.186,
  "spacegroup": "P4/mmm",
  "n_ef_per_ev_atom": 0.98,
  "e_form_raw_ev_per_fu": 1.845
}